9
Lattice="5.397 0.000 0.000 -2.698 4.674 0.000 0.000 0.000 3.555" Properties=species:S:1:pos:R:3 comment="TbAl2B6 GGA-PBE optimized geometry" mass_density_g_cm3=5.14 m_tot_mub_per_cell=0.0 formation_enthalpy_0k_ev_per_atom=-0.15 pbc="T T T"
Tb 0.000 0.000 0.000
Al 0.000 3.116 0.000
Al 2.698 1.558 0.000
B -0.917 1.588 1.778
B -1.782 3.086 1.778
B 1.834 0.000 1.778
B 0.917 1.588 1.778
B 3.563 0.000 1.778
B 1.782 3.086 1.778

4
Lattice="0.000 3.935 3.935 3.935 0.000 3.935 3.935 3.935 0.000" Properties=species:S:1:pos:R:3 comment="LaSmPuSc GGA-PBE optimized geometry" mass_density_g_cm3=7.88 m_tot_mub_per_cell=7.5 formation_enthalpy_0k_ev_per_atom=0.20 pbc="T T T"
La 0.000 0.000 0.000
Sm 3.935 3.935 3.935
Pu 1.967 1.967 1.967
Sc 5.902 5.902 5.902

9
Lattice="5.022 0.000 0.000 -2.511 4.350 0.000 0.000 0.000 4.958" Properties=species:S:1:pos:R:3 comment="SiHgIrO6 GGA-PBE optimized geometry" mass_density_g_cm3=7.92 e_form_raw_ev_per_atom=-1.143 m_tot_mub_per_cell=0.7 pbc="T T T"
Si 0.000 0.000 0.000
Hg 0.000 2.900 2.479
Ir 2.511 1.450 0.000
O 1.482 0.146 1.018
O 0.868 1.210 3.940
O 3.540 0.146 3.940
O 1.897 2.993 1.018
O 4.155 1.210 1.018
O 3.126 2.993 3.940

7
Lattice="5.057 0.000 0.000 0.000 5.057 0.000 0.000 0.000 8.825" Properties=species:S:1:pos:R:3 comment="SrTl5In GGA-PBE optimized geometry" mass_density_g_cm3=9.01 e_above_lowest_polymorph_ev_per_atom=0.047 m_tot_mub_per_cell=0.0 formation_enthalpy_0k_ev_per_atom=-0.07 pbc="T T T"
Sr 0.000 0.000 0.000
Tl 0.000 2.529 2.535
Tl 0.000 2.529 6.291
Tl 2.529 0.000 2.535
Tl 2.529 0.000 6.291
Tl 2.529 2.529 0.000
In 2.529 2.529 4.413

6
Lattice="4.867 0.000 0.000 0.000 4.867 0.000 0.000 0.000 7.644" Properties=species:S:1:pos:R:3 comment="Dy4MgCu GGA-PBE optimized geometry" mass_density_g_cm3=6.77 m_tot_mub_per_cell=0.0 formation_enthalpy_0k_ev_per_atom=0.22 pbc="T T T"
Dy 0.000 2.433 1.649
Dy 0.000 2.433 5.995
Dy 2.433 0.000 1.649
Dy 2.433 0.000 5.995
Mg 0.000 0.000 3.822
Cu 2.433 2.433 0.000

10
Lattice="2.254 -5.825 0.000 2.254 5.825 0.000 0.000 0.000 10.340" Properties=species:S:1:pos:R:3 comment="Y3SnIr GGA-PBE optimized geometry" mass_density_g_cm3=7.07 e_above_lowest_polymorph_ev_per_atom=0.000 m_tot_mub_per_cell=0.0 formation_enthalpy_0k_ev_per_atom=-0.68 pbc="T T T"
Y 2.254 4.890 7.755
Y 2.254 1.654 5.692
Y 2.254 1.654 9.818
Y 2.254 -1.654 0.522
Y 2.254 -1.654 4.648
Y 2.254 -4.890 2.585
Sn 2.254 3.183 2.585
Sn 2.254 -3.183 7.755
Ir 0.000 0.000 0.000
Ir 0.000 0.000 5.170

Please write out number 4 again, unchanged.
7
Lattice="5.057 0.000 0.000 0.000 5.057 0.000 0.000 0.000 8.825" Properties=species:S:1:pos:R:3 comment="SrTl5In GGA-PBE optimized geometry" mass_density_g_cm3=9.01 e_above_lowest_polymorph_ev_per_atom=0.047 m_tot_mub_per_cell=0.0 formation_enthalpy_0k_ev_per_atom=-0.07 pbc="T T T"
Sr 0.000 0.000 0.000
Tl 0.000 2.529 2.535
Tl 0.000 2.529 6.291
Tl 2.529 0.000 2.535
Tl 2.529 0.000 6.291
Tl 2.529 2.529 0.000
In 2.529 2.529 4.413

Repeat the sixth record exactly.
10
Lattice="2.254 -5.825 0.000 2.254 5.825 0.000 0.000 0.000 10.340" Properties=species:S:1:pos:R:3 comment="Y3SnIr GGA-PBE optimized geometry" mass_density_g_cm3=7.07 e_above_lowest_polymorph_ev_per_atom=0.000 m_tot_mub_per_cell=0.0 formation_enthalpy_0k_ev_per_atom=-0.68 pbc="T T T"
Y 2.254 4.890 7.755
Y 2.254 1.654 5.692
Y 2.254 1.654 9.818
Y 2.254 -1.654 0.522
Y 2.254 -1.654 4.648
Y 2.254 -4.890 2.585
Sn 2.254 3.183 2.585
Sn 2.254 -3.183 7.755
Ir 0.000 0.000 0.000
Ir 0.000 0.000 5.170